(1)
Entry from the Alexandria database: crystalline ZrCo4 at its relaxed geometry (PBE-GGA).

Cell lengths 4.483, 4.483, 4.483 Å; angles 90.00, 90.00, 90.00 degrees
Site moments in Bohr magnetons follow the coordinates.
Element x y z (fractional)
Co (0.000, 0.500, 0.500)  0.93
Zr (0.500, 0.500, 0.500)  -0.24
Co (0.500, 0.000, 0.500)  0.93
Co (0.000, 0.000, 0.000)  2.10
Co (0.500, 0.500, 0.000)  0.93

Summary:
Offset from the most stable computed form   412.2 meV/atom
Crystal system   cubic
D(E_F)   5.6 states/eV per cell
E_form   1695 meV per atom

=====

(2)
Entry from the Alexandria database: crystalline CuHAu3 at its relaxed geometry (PBE-GGA).

Cell lengths 4.145, 4.145, 4.145 Å; angles 90.00, 90.00, 90.00 degrees
Element x y z (fractional)
Au (0.000, 0.000, 0.500)
H (0.000, 0.000, 0.000)
Au (0.000, 0.500, 0.000)
Cu (0.500, 0.500, 0.500)
Au (0.500, 0.000, 0.000)

Summary:
Offset from the most stable computed form   0.0 meV/atom
Crystal system   cubic
D(E_F)   1.4 states/eV per cell

=====

(3)
Entry from the Alexandria database: crystalline ZrMn2VCo at its relaxed geometry (PBE-GGA).

Cell lengths 4.418, 4.628, 4.418 Å; angles 90.00, 90.00, 90.00 degrees
Site moments in Bohr magnetons follow the coordinates.
Element x y z (fractional)
Mn (0.000, 0.000, 0.500)  -0.08
V (0.000, 0.500, 0.000)  -1.32
Mn (0.500, 0.000, 0.000)  0.06
Zr (0.000, 0.000, 0.000)  -0.02
Co (0.500, 0.500, 0.500)  2.01

Summary:
Crystal system   tetragonal
D(E_F)   10.4 states/eV per cell
E_form   2089 meV per atom

=====

(4)
Entry from the Alexandria database: crystalline TlCr2W at its relaxed geometry (PBE-GGA).

Cell lengths 5.028, 5.028, 5.028 Å; angles 141.40, 126.49, 67.90 degrees
Site moments in Bohr magnetons follow the coordinates.
Element x y z (fractional)
W (0.250, 0.750, 0.500)  -0.27
Cr (0.483, 0.483, 0.000)  0.92
Cr (0.017, 0.017, 0.000)  0.92
Tl (0.750, 0.250, 0.500)  -0.03

Summary:
Offset from the most stable computed form   323.1 meV/atom
Crystal system   orthorhombic
D(E_F)   4.2 states/eV per cell
E_form   787 meV per atom

=====

(5)
Entry from the Alexandria database: crystalline LaGaSb2I at its relaxed geometry (PBE-GGA).

Cell lengths 6.118, 6.118, 6.271 Å; angles 90.00, 90.00, 90.00 degrees
Site moments in Bohr magnetons follow the coordinates.
Element x y z (fractional)
Ga (0.500, 0.500, 0.500)  0.00
Sb (0.000, 0.500, 0.000)  0.06
I (0.000, 0.000, 0.500)  0.03
Sb (0.500, 0.000, 0.000)  0.06
La (0.000, 0.000, 0.000)  0.01

Summary:
Uncorrected formation energy   0.097 eV/atom
Offset from the most stable computed form   287.4 meV/atom
Crystal system   tetragonal
D(E_F)   4.9 states/eV per cell

=====

(6)
Entry from the Alexandria database: crystalline BaYTc at its relaxed geometry (PBE-GGA).

Cell lengths 3.681, 3.681, 7.905 Å; angles 90.00, 90.00, 120.00 degrees
Element x y z (fractional)
Ba (0.000, 0.000, 0.061)
Y (0.333, 0.667, 0.587)
Tc (0.667, 0.333, 0.353)

Summary:
Offset from the most stable computed form   180.0 meV/atom
Crystal system   trigonal
D(E_F)   3.8 states/eV per cell
E_form   638 meV per atom